# 1
## LaHgCl (PBE)

Data for LaHgCl after structural relaxation.

Computed properties:
The space group is F-43m. Its crystal system is cubic. The value obtained for the uncorrected formation energy is -490 meV/atom. The calculation puts the excess energy over the best structure of this formula in the dataset at 0.7191 eV/atom.

Lattice parameters (Å, degrees): 5.157 5.157 5.157 60.00 60.00 60.00
Fractional positions:
Hg: 0.250 0.250 0.250
La: 0.000 0.000 0.000
Cl: 0.500 0.500 0.500


# 2
## TcTeP2 (PBE)

Data for TcTeP2 after structural relaxation.

Computed properties:
The space group is P4/mmm. Its crystal system is tetragonal. The value obtained for the uncorrected formation energy is 713 meV/atom.

Lattice parameters (Å, degrees): 4.603 4.603 3.127 90.00 90.00 90.00
Fractional positions:
Tc: 0.500 0.000 0.500
P: 0.000 0.000 0.000
P: 0.500 0.500 0.000
Te: 0.000 0.500 0.500


# 3
## Zr6GaTe (PBE)

Data for Zr6GaTe after structural relaxation.

Computed properties:
The space group is Fmmm. Its crystal system is orthorhombic. The value obtained for the uncorrected formation energy is -332 meV/atom.

Lattice parameters (Å, degrees): 7.397 7.402 5.210 69.34 69.43 41.22
Fractional positions:
Zr: 0.882 0.882 0.618
Zr: 0.618 0.618 0.882
Zr: 0.745 0.745 0.255
Zr: 0.118 0.118 0.382
Zr: 0.382 0.382 0.118
Zr: 0.255 0.255 0.745
Ga: 0.500 0.500 0.500
Te: 0.000 0.000 0.000


# 4
## CaReTc2 (PBE)

Data for CaReTc2 after structural relaxation.

Computed properties:
The space group is Pmmm. Its crystal system is orthorhombic. The value obtained for the energy relative to the elements is 0.73 eV per atom. The calculation puts the excess energy over the best structure of this formula in the dataset at 0.3472 eV/atom.

Lattice parameters (Å, degrees): 3.113 4.733 4.478 90.00 90.00 90.00
Fractional positions:
Tc: 0.500 0.500 0.000
Tc: 0.000 0.000 0.000
Re: 0.000 0.500 0.500
Ca: 0.500 0.000 0.500